# 1
The following is a DFT calculation (PBE) of crystalline YCr2Ni at its relaxed geometry.

Output
The value obtained for the spin magnetization is 0.95 μB/f.u. The calculation puts the polymorph energy (0 for the lowest one) at 0.0058 eV per atom.

Unit cell a=7.3766 b=3.8235 c=5.4958 alpha=90.00 beta=114.95 gamma=90.00
Space group Cm (No. 8)
Asymmetric unit:
Y1 0.0000 0.0000 0.0000 x2
Cr1 0.0222 0.5000 0.5494 x2
Cr2 0.3068 0.5000 0.3822 x2
Ni1 0.2123 0.0000 0.6008 x2

# 2
The following is a DFT calculation (PBE) of crystalline YCr4Ni at its relaxed geometry.

Output
The value obtained for the spin magnetization is 0.00 μB/f.u. The total energy is -8.046 eV per atom.

Unit cell a=7.0007 b=7.0007 c=7.0007 alpha=90.00 beta=90.00 gamma=90.00
Space group F-43m (No. 216)
Asymmetric unit:
Y1 0.0000 0.0000 0.0000 x4
Cr1 0.1256 0.1256 0.6256 x16
Ni1 0.2500 0.2500 0.2500 x4

# 3
The following is a DFT calculation (PBE) of crystalline YCr2Ni at its relaxed geometry.

Output
The value obtained for the spin magnetization is 0.00 μB/f.u. The calculation puts the polymorph energy (0 for the lowest one) at 0.3394 eV per atom.

Unit cell a=3.0226 b=3.0226 c=24.0446 alpha=90.00 beta=90.00 gamma=120.00
Space group R3m (No. 160, hexagonal axes)
Asymmetric unit:
Y1 0.0000 0.0000 0.0000 x3
Cr1 0.0000 0.0000 0.2290 x3
Cr2 0.0000 0.0000 0.5006 x3
Ni1 0.0000 0.0000 0.7608 x3

# 4
The following is a DFT calculation (PBE) of crystalline YCr2Ni at its relaxed geometry.

Output
The value obtained for the spin magnetization is 0.52 μB/f.u. The calculation puts the polymorph energy (0 for the lowest one) at 0.0000 eV per atom.

Unit cell a=3.1856 b=3.1856 c=6.4502 alpha=90.00 beta=90.00 gamma=90.00
Space group P4mm (No. 99)
Asymmetric unit:
Y1 0.0000 0.0000 0.0000 x1
Cr1 0.0000 0.0000 0.5044 x1
Cr2 0.5000 0.5000 0.3404 x1
Ni1 0.5000 0.5000 0.7333 x1

# 5
The following is a DFT calculation (PBE) of crystalline YCr2Ni2 at its relaxed geometry.

Output
The value obtained for the spin magnetization is 2.53 μB/f.u. The calculation puts the polymorph energy (0 for the lowest one) at 0.0638 eV per atom.

Unit cell a=4.0686 b=4.0686 c=9.3251 alpha=90.00 beta=90.00 gamma=90.00
Space group I4/mmm (No. 139)
Asymmetric unit:
Y1 0.0000 0.0000 0.0000 x2
Cr1 0.0000 0.0000 0.3885 x4
Ni1 0.0000 0.5000 0.2500 x4

# 6
The following is a DFT calculation (PBE) of crystalline Y2CrNi at its relaxed geometry.

Output
The value obtained for the spin magnetization is 3.67 μB/f.u. The calculation puts the polymorph energy (0 for the lowest one) at 0.0352 eV per atom.

Unit cell a=4.9024 b=4.9024 c=3.5185 alpha=90.00 beta=90.00 gamma=90.00
Space group P4/mmm (No. 123)
Asymmetric unit:
Y1 0.0000 0.5000 0.0000 x2
Cr1 0.0000 0.0000 0.5000 x1
Ni1 0.5000 0.5000 0.5000 x1

Question: What is the formula in the sixth record?
Answer: Y2CrNi

Question: Among the records above, which one has the highest spin magnetization?
Answer: Y2CrNi

Question: spin magnetization of number 3 (YCr2Ni)?
Answer: 0.00 μB/f.u.